(1)
Density functional theory data (GGA-PBE) for crystalline SrAc2RuO6 at its relaxed geometry.

Output
The calculation puts the density of states at the Fermi level at 5.0 states/eV/f.u. The calculation puts the uncorrected formation energy at -2.50 eV/atom. The calculation puts the final energy at -147.9 eV per cell.

abc: 5.9089 6.1999 10.2700
angles: 90.00 124.16 90.00
Space group P2_1/c (No. 14)
Unique sites:
Sr1 0.0000 0.0000 0.0000 (multiplicity 2)
Ac1 0.2670 0.0584 0.7489 (multiplicity 4)
Ru1 0.5000 0.0000 0.5000 (multiplicity 2)
O1 0.1625 0.0472 0.2762 (multiplicity 4)
O2 0.2724 0.6790 0.0526 (multiplicity 4)
O3 0.3955 0.2242 0.0675 (multiplicity 4)

(2)
Density functional theory data (GGA-PBE) for crystalline RbWS2 at its relaxed geometry.

Output
The energy above the most stable polymorph in this dataset comes out at 0 meV/atom. The calculation puts the density of states at the Fermi level at 3.3 states/eV/f.u. The calculation puts the uncorrected formation energy at -0.43 eV/atom. The calculation puts the final energy at -95.6 eV per cell.

abc: 6.7518 6.7518 10.7612
angles: 90.00 90.00 90.00
Space group I-42d (No. 122)
Unique sites:
Rb1 0.0000 0.0000 0.0000 (multiplicity 4)
W1 0.0000 0.0000 0.5000 (multiplicity 4)
S1 0.1067 0.2500 0.6250 (multiplicity 8)